Record 1
Here is a geometry-optimized MgBe2Cr structure from Alexandria via LeMat-Bulk. Energies are from PBE-GGA.

The space group is Amm2 (No. 38) and the conventional cell measures 3.746, 2.702 and 9.535 Å, with angles of 90.00, 90.00 and 90.00 degrees. The inequivalent atoms are Mg at (0.000, 0.000, 0.000), Be at (0.000, 0.000, 0.738), Be at (0.500, 0.000, 0.616) and Cr at (0.500, 0.000, 0.326).

As for the density of states at the Fermi level: 2.9 states/eV/f.u. For the total energy, the calculation gives -4.336 eV per atom. The value obtained for the formation energy is 1.33 eV per formula unit.

---

Record 2
Here is a geometry-optimized MgBeCr2 structure from Alexandria via LeMat-Bulk. Energies are from PBE-GGA.

The space group is Fm-3m (No. 225) and the conventional cell measures 6.133, 6.133 and 6.133 Å, with angles of 90.00, 90.00 and 90.00 degrees. The inequivalent atoms are Mg at (0.000, 0.000, 0.000), Be at (0.000, 0.000, 0.500) and Cr at (0.250, 0.250, 0.250).

The calculation puts the distance to the lowest polymorph of the same formula at 36.34 kJ per mole of atoms. As for the density of states at the Fermi level: 3.4 states/eV/f.u. For the total energy, the calculation gives -5.546 eV per atom. The value obtained for the formation energy is 2.38 eV per formula unit.

---

Record 3
Here is a geometry-optimized MgBe4Cr structure from Alexandria via LeMat-Bulk. Energies are from PBE-GGA.

The space group is F-43m (No. 216) and the conventional cell measures 6.367, 6.367 and 6.367 Å, with angles of 90.00, 90.00 and 90.00 degrees. The inequivalent atoms are Mg at (0.000, 0.000, 0.000), Be at (0.123, 0.123, 0.377) and Cr at (0.250, 0.250, 0.750).

As for the density of states at the Fermi level: 3.4 states/eV/f.u. For the total energy, the calculation gives -4.300 eV per atom. The value obtained for the formation energy is 0.32 eV per formula unit.